No. 1
# Y3Tm4In

A relaxed structure of Y3Tm4In (PBE, the Alexandria database).

Unit cell a=11.1361 b=6.9663 c=6.1219 alpha=90.00 beta=90.00 gamma=90.00
Closest atoms and distances in Å follow each position.
Sites, in units of the cell vectors:
Y (0.0000, 0.1289, 0.0000)  6 Tm 3.34-3.70, 4 Y 3.40-3.50, 2 In 3.44-3.65
Y (0.2403, 0.1180, 0.3416)  2 In 3.36-3.50, 4 Y 3.40-3.50, 6 Tm 3.44-3.64
Y (0.2597, 0.8820, 0.8416)  2 In 3.36-3.50, 4 Y 3.40-3.50, 6 Tm 3.44-3.64
Y (0.5000, 0.8711, 0.5000)  6 Tm 3.34-3.70, 4 Y 3.40-3.50, 2 In 3.44-3.65
Y (0.7403, 0.8820, 0.8416)  2 In 3.36-3.50, 4 Y 3.40-3.50, 6 Tm 3.44-3.64
Y (0.7597, 0.1180, 0.3416)  2 In 3.36-3.50, 4 Y 3.40-3.50, 6 Tm 3.44-3.64
Tm (0.0000, 0.3788, 0.5341)  4 Y 3.34-3.70, 6 Tm 3.35-3.64, 2 In 3.43-3.53
Tm (0.0000, 0.6289, 0.0117)  6 Tm 3.40-3.64, 2 In 3.45-3.54, 4 Y 3.48-3.54
Tm (0.2403, 0.6241, 0.3577)  1 In 3.33, 6 Tm 3.35-3.52, 5 Y 3.44-3.64
Tm (0.2597, 0.3759, 0.8577)  1 In 3.33, 6 Tm 3.35-3.52, 5 Y 3.44-3.64
Tm (0.5000, 0.3711, 0.5117)  6 Tm 3.40-3.64, 2 In 3.45-3.54, 4 Y 3.48-3.54
Tm (0.5000, 0.6212, 0.0341)  4 Y 3.34-3.70, 6 Tm 3.35-3.64, 2 In 3.43-3.53
Tm (0.7403, 0.3759, 0.8577)  1 In 3.33, 6 Tm 3.35-3.52, 5 Y 3.44-3.64
Tm (0.7597, 0.6241, 0.3577)  1 In 3.33, 6 Tm 3.35-3.52, 5 Y 3.44-3.64
In (0.0000, 0.8716, 0.5199)  6 Tm 3.33-3.54, 6 Y 3.36-3.65
In (0.5000, 0.1284, 0.0199)  6 Tm 3.33-3.54, 6 Y 3.36-3.65

Properties
* formation energy: -0.9 eV/f.u.
* symmetry: Pmn2_1
* spin magnetization: 0.00 μB per formula unit
* Fermi-level density of states: 19.56 states/eV per cell

No. 2
# Li2TbEu

A relaxed structure of Li2TbEu (PBE, the Alexandria database).

Unit cell a=3.8415 b=3.8415 c=7.8584 alpha=90.00 beta=90.00 gamma=90.00
Closest atoms and distances in Å follow each position.
Sites, in units of the cell vectors:
Li (0.0000, 0.0000, 0.2295)  4 Tb 3.26, 4 Eu 3.45, 1 Li 3.61
Li (0.0000, 0.0000, 0.7705)  4 Tb 3.26, 4 Eu 3.45, 1 Li 3.61
Tb (0.5000, 0.5000, 0.0000)  8 Li 3.26
Eu (0.5000, 0.5000, 0.5000)  8 Li 3.45, 4 Eu 3.84

Properties
* energy above the lowest structure with this stoichiometry: 0.000 eV/atom
* formation energy: 0.5 eV/f.u.
* symmetry: P4/mmm
* spin magnetization: 7.43 μB per formula unit
* Fermi-level density of states: 9.40 states/eV per cell

No. 3
# NaYAgRu2

A relaxed structure of NaYAgRu2 (PBE, the Alexandria database).

Unit cell a=4.9792 b=4.9792 c=4.6927 alpha=90.00 beta=90.00 gamma=90.00
Closest atoms and distances in Å follow each position.
Sites, in units of the cell vectors:
Na (0.0000, 0.0000, 0.0000)  2 Ag 2.35
Y (0.5000, 0.5000, 0.0000)  8 Ru 3.42, 4 Na 3.52
Ag (0.0000, 0.0000, 0.5000)  2 Na 2.35, 4 Ru 2.49
Ru (0.0000, 0.5000, 0.5000)  2 Ag 2.49
Ru (0.5000, 0.0000, 0.5000)  2 Ag 2.49

Properties
* formation energy: 5.6 eV/f.u.
* symmetry: P4/mmm
* spin magnetization: 2.60 μB per formula unit
* Fermi-level density of states: 6.83 states/eV per cell

No. 4
# SnIr2Au

A relaxed structure of SnIr2Au (PBE, the Alexandria database).

Unit cell a=3.9897 b=3.9897 c=18.9904 alpha=90.00 beta=90.00 gamma=90.00
Closest atoms and distances in Å follow each position.
Sites, in units of the cell vectors:
Sn (0.0000, 0.0000, 0.0000)  4 Au 2.82, 4 Ir 2.83
Sn (0.0000, 0.5000, 0.2500)  4 Au 2.82, 4 Ir 2.83
Sn (0.5000, 0.0000, 0.7500)  4 Au 2.82, 4 Ir 2.83
Sn (0.5000, 0.5000, 0.5000)  4 Au 2.82, 4 Ir 2.83
Ir (0.2027, 0.2500, 0.6250)  2 Ir 2.57, 2 Au 2.70, 2 Sn 2.83
Ir (0.2500, 0.7027, 0.8750)  2 Ir 2.57, 2 Au 2.70, 2 Sn 2.83
Ir (0.2500, 0.7973, 0.3750)  2 Ir 2.57, 2 Au 2.70, 2 Sn 2.83
Ir (0.2973, 0.2500, 0.1250)  2 Ir 2.57, 2 Au 2.70, 2 Sn 2.83
Ir (0.7027, 0.7500, 0.1250)  2 Ir 2.57, 2 Au 2.70, 2 Sn 2.83
Ir (0.7500, 0.2027, 0.3750)  2 Ir 2.57, 2 Au 2.70, 2 Sn 2.83
Ir (0.7500, 0.2973, 0.8750)  2 Ir 2.57, 2 Au 2.70, 2 Sn 2.83
Ir (0.7973, 0.7500, 0.6250)  2 Ir 2.57, 2 Au 2.70, 2 Sn 2.83
Au (0.0000, 0.0000, 0.5000)  4 Ir 2.70, 4 Sn 2.82
Au (0.0000, 0.5000, 0.7500)  4 Ir 2.70, 4 Sn 2.82
Au (0.5000, 0.0000, 0.2500)  4 Ir 2.70, 4 Sn 2.82
Au (0.5000, 0.5000, 0.0000)  4 Ir 2.70, 4 Sn 2.82

Properties
* formation energy: 1.8 eV/f.u.
* symmetry: I-42d
* spin magnetization: 0.00 μB per formula unit
* Fermi-level density of states: 22.95 states/eV per cell

No. 5
# TcPbW2

A relaxed structure of TcPbW2 (PBE, the Alexandria database).

Unit cell a=3.8839 b=3.8839 c=19.8564 alpha=90.00 beta=90.00 gamma=90.00
Closest atoms and distances in Å follow each position.
Sites, in units of the cell vectors:
Tc (0.0000, 0.0000, 0.0000)  4 Pb 2.75, 4 W 2.84
Tc (0.0000, 0.5000, 0.2500)  4 Pb 2.75, 4 W 2.84
Tc (0.5000, 0.0000, 0.7500)  4 Pb 2.75, 4 W 2.84
Tc (0.5000, 0.5000, 0.5000)  4 Pb 2.75, 4 W 2.84
Pb (0.0000, 0.0000, 0.5000)  4 Tc 2.75, 4 W 2.83
Pb (0.0000, 0.5000, 0.7500)  4 Tc 2.75, 4 W 2.83
Pb (0.5000, 0.0000, 0.2500)  4 Tc 2.75, 4 W 2.83
Pb (0.5000, 0.5000, 0.0000)  4 Tc 2.75, 4 W 2.83
W (0.2482, 0.2500, 0.6250)  4 W 2.74-2.76, 2 Pb 2.83, 2 Tc 2.84
W (0.2500, 0.7482, 0.8750)  4 W 2.74-2.76, 2 Pb 2.83, 2 Tc 2.84
W (0.2500, 0.7518, 0.3750)  4 W 2.74-2.76, 2 Pb 2.83, 2 Tc 2.84
W (0.2518, 0.2500, 0.1250)  4 W 2.74-2.76, 2 Pb 2.83, 2 Tc 2.84
W (0.7482, 0.7500, 0.1250)  4 W 2.74-2.76, 2 Pb 2.83, 2 Tc 2.84
W (0.7500, 0.2482, 0.3750)  4 W 2.74-2.76, 2 Pb 2.83, 2 Tc 2.84
W (0.7500, 0.2518, 0.8750)  4 W 2.74-2.76, 2 Pb 2.83, 2 Tc 2.84
W (0.7518, 0.7500, 0.6250)  4 W 2.74-2.76, 2 Pb 2.83, 2 Tc 2.84

Properties
* formation energy: 4.9 eV/f.u.
* symmetry: I-42d
* spin magnetization: 0.00 μB per formula unit
* Fermi-level density of states: 16.30 states/eV per cell